# 1
Entry from Alexandria via LeMat-Bulk: an optimized crystal structure of Zn3PIr (PBE).

abc: 4.760 4.760 4.760
angles: 90.00 90.00 90.00
Space group Pm-3m (No. 221)
Asymmetric unit:
Zn1 0.000 0.000 0.500 x3
P1 0.500 0.500 0.500 x1
Ir1 0.000 0.000 0.000 x1

offset from the most stable computed form	0.000	eV per atom
total magnetic moment	0.21	μB/f.u.
energy of formation	693	meV/atom
theoretical density	6.457	g/cm3

=====

# 2
Entry from Alexandria via LeMat-Bulk: an optimized crystal structure of ZnP2Ir (PBE).

abc: 2.832 4.345 10.576
angles: 90.00 90.00 90.00
Space group Immm (No. 71)
Asymmetric unit:
Zn1 0.000 0.000 0.000 x2
P1 0.000 0.500 0.188 x4
Ir1 0.000 0.000 0.500 x2

total magnetic moment	0.00	μB/f.u.
energy of formation	58	meV/atom
theoretical density	8.156	g/cm3